Density functional theory data (PBE) for crystalline BaLiTlSn2 at its relaxed geometry.

Cell: 4.938 4.938 12.680 Å, 90.00 90.00 90.00°
Space group I-4m2 (No. 119)
Unique sites:
1 Ba 0.000 0.000 0.000 [2 per cell]
2 Li 0.000 0.500 0.750 [2 per cell]
3 Tl 0.000 0.500 0.250 [2 per cell]
4 Sn 0.000 0.000 0.387 [4 per cell]

Properties
**DOS(E_F)**: 2.48 states/eV/f.u.
**Offset from the most stable computed form**: 0.000 eV/atom
**Total energy**: -3.248 eV per atom


Density functional theory data (PBE) for crystalline ZnSiN2F at its relaxed geometry.

Cell: 3.931 3.931 3.986 Å, 90.00 90.00 90.00°
Space group P4/mmm (No. 123)
Unique sites:
1 Zn 0.000 0.000 0.000 [1 per cell]
2 Si 0.500 0.500 0.500 [1 per cell]
3 N 0.000 0.500 0.000 [2 per cell]
4 F 0.000 0.000 0.500 [1 per cell]

Properties
**DOS(E_F)**: 3.65 states/eV/f.u.
**Formation energy (no corrections)**: 0.951 eV per atom
**Offset from the most stable computed form**: 1.235 eV/atom
**Total energy**: -4.093 eV per atom


Density functional theory data (PBE) for crystalline TbThCoCu at its relaxed geometry.

Cell: 6.948 6.948 6.948 Å, 90.00 90.00 90.00°
Space group F-43m (No. 216)
Unique sites:
1 Tb 0.000 0.000 0.000 [4 per cell]
2 Th 0.000 0.000 0.500 [4 per cell]
3 Co 0.250 0.250 0.750 [4 per cell]
4 Cu 0.250 0.250 0.250 [4 per cell]

Properties
**DOS(E_F)**: 2.67 states/eV/f.u.
**Offset from the most stable computed form**: 0.140 eV/atom
**Total energy**: -5.950 eV per atom


Density functional theory data (PBE) for crystalline Sc6Pd5Pb at its relaxed geometry.

Cell: 4.816 6.610 7.589 Å, 90.00 108.20 90.00°
Space group P2/m (No. 10)
Unique sites:
1 Sc 0.000 0.235 0.000 [2 per cell]
2 Sc 0.324 0.243 0.652 [4 per cell]
3 Pd 0.169 0.000 0.326 [2 per cell]
4 Pd 0.170 0.500 0.329 [2 per cell]
5 Pd 0.500 0.000 0.000 [1 per cell]
6 Pb 0.500 0.500 0.000 [1 per cell]

Properties
**DOS(E_F)**: 7.58 states/eV/f.u.
**Total energy**: -6.420 eV per atom


Density functional theory data (PBE) for crystalline Pm2Nd3Er at its relaxed geometry.

Cell: 11.327 11.998 6.980 Å, 90.00 90.00 90.00°
Space group Ibam (No. 72)
Unique sites:
1 Pm 0.245 0.197 0.000 [8 per cell]
2 Nd 0.000 0.000 0.250 [4 per cell]
3 Nd 0.000 0.265 0.250 [8 per cell]
4 Er 0.000 0.500 0.000 [4 per cell]

Properties
**DOS(E_F)**: 10.47 states/eV/f.u.
**Offset from the most stable computed form**: 0.308 eV/atom
**Total energy**: -4.174 eV per atom


Density functional theory data (PBE) for crystalline Cs2LiAuI at its relaxed geometry.

Cell: 6.877 6.877 5.145 Å, 90.00 90.00 90.00°
Space group P4/mmm (No. 123)
Unique sites:
1 Cs 0.000 0.500 0.000 [2 per cell]
2 Li 0.000 0.000 0.500 [1 per cell]
3 Au 0.000 0.000 0.000 [1 per cell]
4 I 0.500 0.500 0.500 [1 per cell]

Properties
**DOS(E_F)**: 2.03 states/eV/f.u.
**Formation energy (no corrections)**: -0.638 eV per atom
**Total energy**: -2.328 eV per atom


Copy entry 6 word for word.
Density functional theory data (PBE) for crystalline Cs2LiAuI at its relaxed geometry.

Cell: 6.877 6.877 5.145 Å, 90.00 90.00 90.00°
Space group P4/mmm (No. 123)
Unique sites:
1 Cs 0.000 0.500 0.000 [2 per cell]
2 Li 0.000 0.000 0.500 [1 per cell]
3 Au 0.000 0.000 0.000 [1 per cell]
4 I 0.500 0.500 0.500 [1 per cell]

Properties
**DOS(E_F)**: 2.03 states/eV/f.u.
**Formation energy (no corrections)**: -0.638 eV per atom
**Total energy**: -2.328 eV per atom


Repeat the sixth record exactly.
Density functional theory data (PBE) for crystalline Cs2LiAuI at its relaxed geometry.

Cell: 6.877 6.877 5.145 Å, 90.00 90.00 90.00°
Space group P4/mmm (No. 123)
Unique sites:
1 Cs 0.000 0.500 0.000 [2 per cell]
2 Li 0.000 0.000 0.500 [1 per cell]
3 Au 0.000 0.000 0.000 [1 per cell]
4 I 0.500 0.500 0.500 [1 per cell]

Properties
**DOS(E_F)**: 2.03 states/eV/f.u.
**Formation energy (no corrections)**: -0.638 eV per atom
**Total energy**: -2.328 eV per atom


Question: Which of these has the lowest total energy?
Answer: Sc6Pd5Pb


Question: Look up the total energy of the first one.
Answer: -3.248 eV per atom